## i
DFT (GGA-PBE) results for an optimized crystal structure of VSn3As.

Values from the calculation:
Symmetry ... No. 221

extended XYZ file:
```
5
Lattice="-3.4970 -3.0432 -2.2756 2.8641 -4.1433 1.1395 -2.4972 -0.4904 4.4935" Properties=species:S:1:pos:R:3 pbc="T T T"
As -1.5651 -3.8384 1.6787
Sn 1.4320 -2.0716 0.5698
Sn -1.2486 -0.2452 2.2467
Sn -1.7485 -1.5216 -1.1378
V 0.0000 0.0000 0.0000
```

***

## ii
DFT (GGA-PBE) results for an optimized crystal structure of VSn3As.

Values from the calculation:
Symmetry ... No. 221

extended XYZ file:
```
5
Lattice="-3.6074 -3.9231 0.2677 1.1654 -0.7197 5.1574 -3.7555 3.5450 1.3433" Properties=species:S:1:pos:R:3 pbc="T T T"
As 0.0000 0.0000 0.0000
Sn 0.5827 -0.3599 2.5787
Sn -1.8778 1.7725 0.6716
Sn -1.8037 -1.9615 0.1338
V -3.0988 -0.5489 3.3842
```

***

According to the calculations, the structures order from most to least stable as i, ii.

***

## i
DFT (GGA-PBE) results for an optimized crystal structure of SnAsW2.

Values from the calculation:
Symmetry ... No. 122

extended XYZ file:
```
8
Lattice="4.1022 0.0000 0.0000 0.0000 4.1022 0.0000 2.0511 2.0511 9.3393" Properties=species:S:1:pos:R:3 pbc="T T T"
As 2.0511 2.0511 0.0000
As 2.0511 4.1022 4.6696
Sn 0.0000 0.0000 0.0000
Sn 4.1022 2.0511 4.6696
W 2.8410 1.0255 2.3348
W 1.2611 3.0766 2.3348
W 3.0766 3.3122 7.0044
W 5.1277 4.8921 7.0044
```

***

## ii
DFT (GGA-PBE) results for an optimized crystal structure of SnAsW2.

Values from the calculation:
Symmetry ... No. 225

extended XYZ file:
```
4
Lattice="0.8993 1.5870 4.2067 -1.8778 3.9363 1.4153 -3.2692 -0.0449 3.2146" Properties=species:S:1:pos:R:3 pbc="T T T"
As 0.0000 0.0000 0.0000
Sn -2.1239 2.7392 4.4183
W -1.0619 1.3696 2.2091
W -3.1858 4.1088 6.6274
```

***

According to the calculations, the structures order from most to least stable as ii, i.

***

## i
DFT (GGA-PBE) results for an optimized crystal structure of Y2Sn2As.

Values from the calculation:
Symmetry ... No. 139

extended XYZ file:
```
5
Lattice="-4.7501 -2.1727 2.8550 1.5727 -5.5186 -1.5832 0.7242 -4.2109 4.2063" Properties=species:S:1:pos:R:3 pbc="T T T"
Y -2.8073 -5.1146 3.8486
Y 0.3541 -6.7876 1.6295
As 0.0000 0.0000 0.0000
Sn -0.7965 -3.9708 1.8588
Sn -1.6567 -7.9315 3.6192
```

***

## ii
DFT (GGA-PBE) results for an optimized crystal structure of Y2Sn2As.

Values from the calculation:
Symmetry ... No. 127

extended XYZ file:
```
10
Lattice="7.7379 0.0000 0.0000 0.0000 7.7379 0.0000 0.0000 0.0000 4.4185" Properties=species:S:1:pos:R:3 pbc="T T T"
Y 1.3256 5.1946 2.2093
Y 5.1946 6.4123 2.2093
Y 6.4123 2.5433 2.2093
Y 2.5433 1.3256 2.2093
As 0.0000 0.0000 0.0000
As 3.8690 3.8690 0.0000
Sn 2.8321 6.7010 0.0000
Sn 6.7010 4.9058 0.0000
Sn 4.9058 1.0369 0.0000
Sn 1.0369 2.8321 0.0000
```

***

According to the calculations, the structures order from most to least stable as ii, i.

***

## i
DFT (GGA-PBE) results for an optimized crystal structure of ZnSn2As.

Values from the calculation:
Symmetry ... No. 225

extended XYZ file:
```
4
Lattice="2.7056 -3.3844 2.6536 0.9827 0.8261 4.9161 -2.2646 -2.8370 3.5551" Properties=species:S:1:pos:R:3 pbc="T T T"
Zn 0.0000 0.0000 0.0000
As 0.7118 -2.6976 5.5624
Sn 0.3559 -1.3488 2.7812
Sn 1.0677 -4.0464 8.3436
```

***

## ii
DFT (GGA-PBE) results for an optimized crystal structure of ZnSn2As.

Values from the calculation:
Symmetry ... No. 166

extended XYZ file:
```
4
Lattice="-0.5366 1.2187 -2.8542 -2.0864 -1.3617 -1.9269 -8.7858 6.1968 2.5599" Properties=species:S:1:pos:R:3 pbc="T T T"
Zn -5.7044 3.0269 -1.1106
As 0.0000 0.0000 0.0000
Sn -6.6786 4.5336 1.4536
Sn -4.7303 1.5203 -3.6748
```

***

According to the calculations, the structures order from most to least stable as ii, i.

***

## i
DFT (GGA-PBE) results for an optimized crystal structure of ZnSn2As2.

Values from the calculation:
Symmetry ... No. 127

extended XYZ file:
```
10
Lattice="-3.5555 4.4230 -5.2531 0.5944 -5.6951 -5.1975 -3.4377 -1.4037 1.1449" Properties=species:S:1:pos:R:3 pbc="T T T"
Zn 0.0000 0.0000 0.0000
Zn -1.4806 -0.6360 -5.2253
As -0.7010 -3.2763 -6.1218
As -2.5824 -0.0726 -7.8428
As -2.2601 2.0043 -4.3288
As -0.3788 -1.1994 -2.6078
Sn -1.8698 -3.7419 -3.6078
Sn -3.5303 -2.6541 -7.2600
Sn -4.5291 1.0662 -5.6978
Sn -2.8686 -0.0216 -2.0457
```

***

## ii
DFT (GGA-PBE) results for an optimized crystal structure of ZnSn2As2.

Values from the calculation:
Symmetry ... No. 139

extended XYZ file:
```
5
Lattice="3.7704 0.0000 0.0000 0.0000 3.7704 0.0000 1.8852 1.8852 8.3275" Properties=species:S:1:pos:R:3 pbc="T T T"
Zn 0.0000 0.0000 0.0000
As 3.7704 1.8852 4.1638
As 1.8852 3.7704 4.1638
Sn 1.8852 1.8852 1.6099
Sn 3.7704 3.7704 6.7176
```

***

According to the calculations, the structures order from most to least stable as i, ii.

***

## i
DFT (GGA-PBE) results for an optimized crystal structure of Zr2SnAs2.

Values from the calculation:
Symmetry ... No. 139

extended XYZ file:
```
5
Lattice="3.8270 0.0000 0.0000 0.0000 3.8270 0.0000 1.9135 1.9135 7.2908" Properties=species:S:1:pos:R:3 pbc="T T T"
As 3.8270 1.9135 3.6454
As 1.9135 3.8270 3.6454
Sn 0.0000 0.0000 0.0000
Zr 1.9135 1.9135 1.5903
Zr 3.8270 3.8270 5.7005
```

***

## ii
DFT (GGA-PBE) results for an optimized crystal structure of Zr2SnAs2.

Values from the calculation:
Symmetry ... No. 127

extended XYZ file:
```
10
Lattice="7.6918 0.0000 0.0000 0.0000 7.6918 0.0000 0.0000 0.0000 3.5652" Properties=species:S:1:pos:R:3 pbc="T T T"
As 1.0958 4.9417 1.7826
As 4.9417 6.5960 1.7826
As 6.5960 2.7501 1.7826
As 2.7501 1.0958 1.7826
Sn 0.0000 0.0000 0.0000
Sn 3.8459 3.8459 0.0000
Zr 2.6841 6.5301 0.0000
Zr 6.5301 5.0077 0.0000
Zr 5.0077 1.1618 0.0000
Zr 1.1618 2.6841 0.0000
```

***

## iii
DFT (GGA-PBE) results for an optimized crystal structure of Zr2SnAs2.

Values from the calculation:
Symmetry ... No. 127

extended XYZ file:
```
10
Lattice="7.6754 0.0000 0.0000 0.0000 7.6754 0.0000 0.0000 0.0000 3.5408" Properties=species:S:1:pos:R:3 pbc="T T T"
As 2.7667 6.6045 0.0000
As 6.6045 4.9087 0.0000
As 4.9087 1.0710 0.0000
As 1.0710 2.7667 0.0000
Sn 0.0000 0.0000 0.0000
Sn 3.8377 3.8377 0.0000
Zr 1.1619 4.9997 1.7704
Zr 4.9997 6.5135 1.7704
Zr 6.5135 2.6758 1.7704
Zr 2.6758 1.1619 1.7704
```

***

According to the calculations, the structures order from most to least stable as ii, iii, i.

***

## i
DFT (GGA-PBE) results for an optimized crystal structure of ZrSn3As.

Values from the calculation:
Symmetry ... No. 221

extended XYZ file:
```
5
Lattice="5.5518 0.0000 0.0000 0.0000 5.5518 0.0000 0.0000 0.0000 5.5518" Properties=species:S:1:pos:R:3 pbc="T T T"
As 2.7759 2.7759 2.7759
Sn 0.0000 2.7759 0.0000
Sn 0.0000 0.0000 2.7759
Sn 2.7759 0.0000 0.0000
Zr 0.0000 0.0000 0.0000
```

***

## ii
DFT (GGA-PBE) results for an optimized crystal structure of ZrSn3As.

Values from the calculation:
Symmetry ... No. 221

extended XYZ file:
```
5
Lattice="5.2723 0.0000 0.0000 0.0000 5.2723 0.0000 0.0000 0.0000 5.2723" Properties=species:S:1:pos:R:3 pbc="T T T"
As 0.0000 0.0000 0.0000
Sn 0.0000 2.6362 0.0000
Sn 0.0000 0.0000 2.6362
Sn 2.6362 0.0000 0.0000
Zr 2.6362 2.6362 2.6362
```

***

According to the calculations, the structures order from most to least stable as i, ii.

***

## i
DFT (GGA-PBE) results for an optimized crystal structure of Sr3As.

Values from the calculation:
Symmetry ... No. 223

extended XYZ file:
```
8
Lattice="-0.9265 -5.4407 3.6954 -1.9464 -3.3379 -5.4023 6.2824 -1.8366 -1.1288" Properties=species:S:1:pos:R:3 pbc="T T T"
Sr -1.6681 -5.7494 0.0704
Sr -1.2048 -3.0291 -1.7773
Sr 1.6814 -3.4217 -4.6161
Sr 2.6546 -1.7527 -1.9150
Sr 1.1073 -3.1795 1.5655
Sr 4.2485 -4.0978 1.0011
As 0.0000 0.0000 0.0000
As 1.7047 -5.3076 -1.4179
```

***

## ii
DFT (GGA-PBE) results for an optimized crystal structure of Sr3As.

Values from the calculation:
Symmetry ... No. 194

extended XYZ file:
```
8
Lattice="3.7942 -6.5717 0.0000 3.7942 6.5717 0.0000 0.0000 0.0000 5.7184" Properties=species:S:1:pos:R:3 pbc="T T T"
Sr 5.5794 -1.1599 1.4296
Sr 2.0090 -1.1599 1.4296
Sr 3.7942 -4.2520 1.4296
Sr 2.0090 1.1599 4.2888
Sr 5.5794 1.1599 4.2888
Sr 3.7942 4.2520 4.2888
As 3.7942 2.1906 1.4296
As 3.7942 -2.1906 4.2888
```

***

## iii
DFT (GGA-PBE) results for an optimized crystal structure of Sr3As.

Values from the calculation:
Symmetry ... No. 65

extended XYZ file:
```
4
Lattice="4.4488 0.0000 0.0000 0.0000 7.5878 0.0755 0.0000 4.9261 5.7683" Properties=species:S:1:pos:R:3 pbc="T T T"
Sr 2.2244 10.6209 4.9605
Sr 0.0000 6.2570 2.9219
Sr 2.2244 1.8930 0.8833
As 0.0000 0.0000 0.0000
```

***

## iv
DFT (GGA-PBE) results for an optimized crystal structure of Sr3As.

Values from the calculation:
Symmetry ... No. 187

extended XYZ file:
```
4
Lattice="-2.6582 -3.4554 0.7801 2.3677 1.7623 3.3020 -8.2561 6.8613 2.2582" Properties=species:S:1:pos:R:3 pbc="T T T"
Sr -4.1281 3.4307 1.1291
Sr -2.2974 -0.6238 1.9803
Sr -7.9246 4.0528 3.5194
As 0.0000 0.0000 0.0000
```

***

According to the calculations, the structures order from most to least stable as iii, iv, ii, i.